# 1
Compound: CsTlSe2
Source: the Alexandria database
Functional: GGA-PBE
Structure: optimized geometry

Output
- ΔE_f (raw) (eV per atom) = -0.67
- symmetry = C2/c, No. 15
- uncorrected energy (eV per formula unit) = -12.85

Unit cell a=7.489 b=7.489 c=7.125 alpha=108.77 beta=108.77 gamma=103.45
Element x y z (fractional)
1 Cs 0.129 0.871 0.750
2 Cs 0.871 0.129 0.250
3 Tl 0.489 0.511 0.250
4 Tl 0.511 0.489 0.750
5 Se 0.192 0.425 0.859
6 Se 0.425 0.192 0.359
7 Se 0.575 0.808 0.641
8 Se 0.808 0.575 0.141

# 2
Compound: Cs3Tl4Se4
Source: the Alexandria database
Functional: GGA-PBE
Structure: optimized geometry

Output
- ΔE_f (raw) (eV per atom) = -0.68
- energy above the most stable polymorph in this dataset (eV per atom) = 0.000
- symmetry = Immm, No. 71
- uncorrected energy (eV per formula unit) = -33.44

Unit cell a=10.069 b=10.069 c=10.069 alpha=152.52 beta=119.18 gamma=68.00
Element x y z (fractional)
1 Cs 0.000 0.000 0.000
2 Cs 0.389 0.889 0.500
3 Cs 0.611 0.111 0.500
4 Tl 0.021 0.330 0.691
5 Tl 0.361 0.670 0.691
6 Tl 0.639 0.330 0.309
7 Tl 0.979 0.670 0.309
8 Se 0.215 0.215 0.000
9 Se 0.269 0.500 0.769
10 Se 0.731 0.500 0.231
11 Se 0.785 0.785 0.000

# 3
Compound: CsTlSe
Source: the Alexandria database
Functional: GGA-PBE
Structure: optimized geometry

Output
- ΔE_f (raw) (eV per atom) = -0.75
- energy above the most stable polymorph in this dataset (eV per atom) = 0.028
- symmetry = Pnma, No. 62
- uncorrected energy (eV per formula unit) = -8.96

Unit cell a=13.067 b=4.752 c=9.144 alpha=90.00 beta=90.00 gamma=90.00
Element x y z (fractional)
1 Cs 0.192 0.250 0.046
2 Cs 0.308 0.750 0.546
3 Cs 0.692 0.250 0.454
4 Cs 0.808 0.750 0.954
5 Tl 0.001 0.750 0.317
6 Tl 0.499 0.250 0.817
7 Tl 0.501 0.750 0.183
8 Tl 0.999 0.250 0.683
9 Se 0.130 0.250 0.422
10 Se 0.370 0.750 0.922
11 Se 0.630 0.250 0.078
12 Se 0.870 0.750 0.578

# 4
Compound: CsTlSe2
Source: the Alexandria database
Functional: GGA-PBE
Structure: optimized geometry

Output
- ΔE_f (raw) (eV per atom) = -0.66
- symmetry = I-42d, No. 122
- uncorrected energy (eV per formula unit) = -12.83

Unit cell a=7.462 b=7.462 c=7.462 alpha=113.34 beta=113.34 gamma=101.99
Element x y z (fractional)
1 Cs 0.000 0.000 0.000
2 Cs 0.750 0.250 0.500
3 Tl 0.250 0.750 0.500
4 Tl 0.500 0.500 0.000
5 Se 0.214 0.625 0.089
6 Se 0.375 0.464 0.589
7 Se 0.536 0.125 0.911
8 Se 0.875 0.786 0.411

# 5
Compound: CsTl3Se
Source: the Alexandria database
Functional: GGA-PBE
Structure: optimized geometry

Output
- ΔE_f (raw) (eV per atom) = 0.80
- energy above the most stable polymorph in this dataset (eV per atom) = 0.869
- symmetry = Pm-3m, No. 221
- uncorrected energy (eV per formula unit) = -7.43

Unit cell a=6.543 b=6.543 c=6.543 alpha=90.00 beta=90.00 gamma=90.00
Element x y z (fractional)
1 Cs 0.000 0.000 0.000
2 Tl 0.000 0.000 0.500
3 Tl 0.000 0.500 0.000
4 Tl 0.500 0.000 0.000
5 Se 0.500 0.500 0.500

# 6
Compound: CsTlSe2
Source: the Alexandria database
Functional: GGA-PBE
Structure: optimized geometry

Output
- ΔE_f (raw) (eV per atom) = -0.70
- symmetry = C2/c, No. 15
- uncorrected energy (eV per formula unit) = -12.98

Unit cell a=8.519 b=8.519 c=17.437 alpha=96.90 beta=96.90 gamma=90.00
Element x y z (fractional)
1 Cs 0.151 0.782 0.605
2 Cs 0.218 0.849 0.895
3 Cs 0.219 0.348 0.887
4 Cs 0.348 0.219 0.387
5 Cs 0.652 0.781 0.613
6 Cs 0.781 0.652 0.113
7 Cs 0.782 0.151 0.105
8 Cs 0.849 0.218 0.395
9 Tl 0.086 0.708 0.337
10 Tl 0.292 0.416 0.165
11 Tl 0.292 0.914 0.163
12 Tl 0.416 0.292 0.665
13 Tl 0.584 0.708 0.335
14 Tl 0.708 0.086 0.837
15 Tl 0.708 0.584 0.835
16 Tl 0.914 0.292 0.663
17 Se 0.049 0.422 0.251
18 Se 0.049 0.951 0.250
19 Se 0.142 0.264 0.567
20 Se 0.264 0.142 0.067
21 Se 0.267 0.640 0.067
22 Se 0.360 0.733 0.433
23 Se 0.421 0.579 0.750
24 Se 0.422 0.049 0.751
25 Se 0.578 0.951 0.249
26 Se 0.579 0.421 0.250
27 Se 0.640 0.267 0.567
28 Se 0.733 0.360 0.933
29 Se 0.736 0.858 0.933
30 Se 0.858 0.736 0.433
31 Se 0.951 0.049 0.750
32 Se 0.951 0.578 0.749

# 7
Compound: Cs3Tl5Se12
Source: the Alexandria database
Functional: GGA-PBE
Structure: optimized geometry

Output
- ΔE_f (raw) (eV per atom) = -0.36
- symmetry = Ia-3d, No. 230
- uncorrected energy (eV per formula unit) = -63.38

Unit cell a=16.361 b=16.361 c=16.361 alpha=109.47 beta=109.47 gamma=109.47
Element x y z (fractional)
1 Cs 0.125 0.250 0.375
2 Cs 0.125 0.375 0.750
3 Cs 0.250 0.375 0.125
4 Cs 0.250 0.875 0.625
5 Cs 0.375 0.125 0.250
6 Cs 0.375 0.750 0.125
7 Cs 0.625 0.250 0.875
8 Cs 0.625 0.875 0.750
9 Cs 0.750 0.125 0.375
10 Cs 0.750 0.625 0.875
11 Cs 0.875 0.625 0.250
12 Cs 0.875 0.750 0.625
13 Tl 0.000 0.000 0.000
14 Tl 0.000 0.000 0.500
15 Tl 0.000 0.500 0.000
16 Tl 0.000 0.500 0.500
17 Tl 0.125 0.750 0.875
18 Tl 0.125 0.875 0.250
19 Tl 0.250 0.125 0.875
20 Tl 0.250 0.625 0.375
21 Tl 0.375 0.250 0.625
22 Tl 0.375 0.625 0.750
23 Tl 0.500 0.000 0.000
24 Tl 0.500 0.000 0.500
25 Tl 0.500 0.500 0.000
26 Tl 0.500 0.500 0.500
27 Tl 0.625 0.375 0.250
28 Tl 0.625 0.750 0.375
29 Tl 0.750 0.375 0.625
30 Tl 0.750 0.875 0.125
31 Tl 0.875 0.125 0.750
32 Tl 0.875 0.250 0.125
33 Se 0.003 0.208 0.047
34 Se 0.003 0.295 0.956
35 Se 0.044 0.547 0.339
36 Se 0.044 0.997 0.705
37 Se 0.047 0.003 0.208
38 Se 0.047 0.544 0.839
39 Se 0.161 0.708 0.705
40 Se 0.161 0.953 0.456
41 Se 0.205 0.208 0.661
42 Se 0.205 0.497 0.544
43 Se 0.208 0.047 0.003
44 Se 0.208 0.661 0.205
45 Se 0.292 0.295 0.839
46 Se 0.292 0.497 0.453
47 Se 0.295 0.839 0.292
48 Se 0.295 0.956 0.003
49 Se 0.339 0.044 0.547
50 Se 0.339 0.795 0.792
51 Se 0.453 0.292 0.497
52 Se 0.453 0.661 0.956
53 Se 0.456 0.161 0.953
54 Se 0.456 0.795 0.503
55 Se 0.497 0.453 0.292
56 Se 0.497 0.544 0.205
57 Se 0.503 0.456 0.795
58 Se 0.503 0.547 0.708
59 Se 0.544 0.205 0.497
60 Se 0.544 0.839 0.047
61 Se 0.547 0.339 0.044
62 Se 0.547 0.708 0.503
63 Se 0.661 0.205 0.208
64 Se 0.661 0.956 0.453
65 Se 0.705 0.044 0.997
66 Se 0.705 0.161 0.708
67 Se 0.708 0.503 0.547
68 Se 0.708 0.705 0.161
69 Se 0.792 0.339 0.795
70 Se 0.792 0.953 0.997
71 Se 0.795 0.503 0.456
72 Se 0.795 0.792 0.339
73 Se 0.839 0.047 0.544
74 Se 0.839 0.292 0.295
75 Se 0.953 0.456 0.161
76 Se 0.953 0.997 0.792
77 Se 0.956 0.003 0.295
78 Se 0.956 0.453 0.661
79 Se 0.997 0.705 0.044
80 Se 0.997 0.792 0.953

# 8
Compound: Cs5Tl2Se4
Source: the Alexandria database
Functional: GGA-PBE
Structure: optimized geometry

Output
- ΔE_f (raw) (eV per atom) = -0.85
- symmetry = C2/m, No. 12
- uncorrected energy (eV per formula unit) = -32.31

Unit cell a=10.242 b=10.242 c=10.221 alpha=101.54 beta=101.54 gamma=30.31
Element x y z (fractional)
1 Cs 0.000 0.000 0.000
2 Cs 0.326 0.326 0.073
3 Cs 0.344 0.344 0.531
4 Cs 0.656 0.656 0.469
5 Cs 0.674 0.674 0.927
6 Tl 0.043 0.043 0.649
7 Tl 0.957 0.957 0.351
8 Se 0.192 0.192 0.716
9 Se 0.493 0.493 0.246
10 Se 0.507 0.507 0.754
11 Se 0.808 0.808 0.284

- What is the ΔE_f (raw) in the second record?
  -0.68 eV per atom